Compound: BOsIN2
Source: Alexandria via LeMat-Bulk
Functional: PBE
Structure: relaxed

Computed properties:
* energy relative to the lowest polymorph listed for this composition: 0.0 meV per atom
* formation energy (no corrections): 1.44 eV per atom

Cell: 3.806 3.806 5.811 Å, 90.00 90.00 90.00°
Fractional coordinates of all 5 atoms:
B: 0.000 0.000 0.000
Os: 0.500 0.500 0.500
I: 0.500 0.500 0.000
N: 0.000 0.500 0.500
N: 0.500 0.000 0.500